(1)
# YTcNF2, optimized geometry, DFT PBE
data_YTcNF2
_chemical_formula_sum 'Y1 Tc1 N1 F2'
_cell_length_a 4.265
_cell_length_b 4.265
_cell_length_c 3.869
_cell_angle_alpha 90.00
_cell_angle_beta 90.00
_cell_angle_gamma 90.00
_symmetry_space_group_name_H-M 'P 1'
_symmetry_Int_Tables_number 1
_symmetry_space_group_name_Hall 'P 1'
loop_
_atom_site_label
_atom_site_type_symbol
_atom_site_fract_x
_atom_site_fract_y
_atom_site_fract_z
Y1 Y 0.000 0.000 0.000
Tc1 Tc 0.500 0.500 0.500
N1 N 0.500 0.500 0.000
F1 F 0.000 0.500 0.500
F2 F 0.500 0.000 0.500
# * formation energy without anion corrections: -25.00 kcal/mol of atoms
# * electronic total energy: -6.864 eV/atom
# * energy above the most stable polymorph in this dataset: 0.0 meV per atom
# * SG: No. 123

---

(2)
# YTcNF2, optimized geometry, DFT PBE
data_YTcNF2
_chemical_formula_sum 'Y1 Tc1 N1 F2'
_cell_length_a 4.249
_cell_length_b 4.249
_cell_length_c 4.778
_cell_angle_alpha 90.00
_cell_angle_beta 90.00
_cell_angle_gamma 90.00
_symmetry_space_group_name_H-M 'P 1'
_symmetry_Int_Tables_number 1
_symmetry_space_group_name_Hall 'P 1'
loop_
_atom_site_label
_atom_site_type_symbol
_atom_site_fract_x
_atom_site_fract_y
_atom_site_fract_z
Y1 Y 0.000 0.000 0.000
Tc1 Tc 0.500 0.500 0.500
N1 N 0.000 0.000 0.500
F1 F 0.000 0.500 0.000
F2 F 0.500 0.000 0.000
# * formation energy without anion corrections: -22.86 kcal/mol of atoms
# * electronic total energy: -6.771 eV/atom
# * energy above the most stable polymorph in this dataset: 92.8 meV per atom
# * SG: No. 123

---

(3)
# ZnTcNF2, optimized geometry, DFT PBE
data_ZnTcNF2
_chemical_formula_sum 'Zn1 Tc1 N1 F2'
_cell_length_a 3.777
_cell_length_b 3.777
_cell_length_c 4.479
_cell_angle_alpha 90.00
_cell_angle_beta 90.00
_cell_angle_gamma 90.00
_symmetry_space_group_name_H-M 'P 1'
_symmetry_Int_Tables_number 1
_symmetry_space_group_name_Hall 'P 1'
loop_
_atom_site_label
_atom_site_type_symbol
_atom_site_fract_x
_atom_site_fract_y
_atom_site_fract_z
Zn1 Zn 0.000 0.000 0.000
Tc1 Tc 0.500 0.500 0.500
N1 N 0.000 0.000 0.500
F1 F 0.000 0.500 0.000
F2 F 0.500 0.000 0.000
# * formation energy without anion corrections: -2.08 kcal/mol of atoms
# * electronic total energy: -4.832 eV/atom
# * energy above the most stable polymorph in this dataset: 435.8 meV per atom
# * SG: No. 123

---

(4)
# ZnTcNF2, optimized geometry, DFT PBE
data_ZnTcNF2
_chemical_formula_sum 'Zn1 Tc1 N1 F2'
_cell_length_a 4.233
_cell_length_b 4.233
_cell_length_c 3.793
_cell_angle_alpha 90.00
_cell_angle_beta 90.00
_cell_angle_gamma 90.00
_symmetry_space_group_name_H-M 'P 1'
_symmetry_Int_Tables_number 1
_symmetry_space_group_name_Hall 'P 1'
loop_
_atom_site_label
_atom_site_type_symbol
_atom_site_fract_x
_atom_site_fract_y
_atom_site_fract_z
Zn1 Zn 0.000 0.000 0.000
Tc1 Tc 0.500 0.500 0.500
N1 N 0.500 0.500 0.000
F1 F 0.000 0.500 0.500
F2 F 0.500 0.000 0.500
# * formation energy without anion corrections: -12.13 kcal/mol of atoms
# * electronic total energy: -5.267 eV/atom
# * energy above the most stable polymorph in this dataset: 0.0 meV per atom
# * SG: No. 123

---

(5)
# Te2N2F, optimized geometry, DFT PBE
data_Te2N2F
_chemical_formula_sum 'Te2 N2 F1'
_cell_length_a 4.829
_cell_length_b 4.829
_cell_length_c 3.590
_cell_angle_alpha 90.00
_cell_angle_beta 90.00
_cell_angle_gamma 90.00
_symmetry_space_group_name_H-M 'P 1'
_symmetry_Int_Tables_number 1
_symmetry_space_group_name_Hall 'P 1'
loop_
_atom_site_label
_atom_site_type_symbol
_atom_site_fract_x
_atom_site_fract_y
_atom_site_fract_z
Te1 Te 0.000 0.500 0.000
Te2 Te 0.500 0.000 0.000
N1 N 0.000 0.000 0.500
N2 N 0.500 0.500 0.500
F1 F 0.000 0.000 0.000
# * formation energy without anion corrections: 46.55 kcal/mol of atoms
# * electronic total energy: -2.943 eV/atom
# * energy above the most stable polymorph in this dataset: 901.8 meV per atom
# * SG: No. 123

---

(6)
# TeN2F5, optimized geometry, DFT PBE
data_TeN2F5
_chemical_formula_sum 'Te1 N2 F5'
_cell_length_a 6.407
_cell_length_b 6.407
_cell_length_c 4.694
_cell_angle_alpha 111.50
_cell_angle_beta 111.50
_cell_angle_gamma 90.85
_symmetry_space_group_name_H-M 'P 1'
_symmetry_Int_Tables_number 1
_symmetry_space_group_name_Hall 'P 1'
loop_
_atom_site_label
_atom_site_type_symbol
_atom_site_fract_x
_atom_site_fract_y
_atom_site_fract_z
Te1 Te 0.000 0.000 0.000
N1 N 0.424 0.424 0.953
N2 N 0.569 0.569 0.084
F1 F 0.027 0.326 0.193
F2 F 0.326 0.027 0.193
F3 F 0.674 0.972 0.829
F4 F 0.972 0.674 0.829
F5 F 0.996 0.996 0.399
# * formation energy without anion corrections: -32.31 kcal/mol of atoms
# * electronic total energy: -5.045 eV/atom
# * SG: No. 8

---

(7)
# Te2N2F, optimized geometry, DFT PBE
data_Te2N2F
_chemical_formula_sum 'Te2 N2 F1'
_cell_length_a 4.550
_cell_length_b 4.550
_cell_length_c 3.753
_cell_angle_alpha 90.00
_cell_angle_beta 90.00
_cell_angle_gamma 90.00
_symmetry_space_group_name_H-M 'P 1'
_symmetry_Int_Tables_number 1
_symmetry_space_group_name_Hall 'P 1'
loop_
_atom_site_label
_atom_site_type_symbol
_atom_site_fract_x
_atom_site_fract_y
_atom_site_fract_z
Te1 Te 0.000 0.500 0.000
Te2 Te 0.500 0.000 0.000
N1 N 0.000 0.000 0.000
N2 N 0.000 0.000 0.500
F1 F 0.500 0.500 0.500
# * formation energy without anion corrections: 27.85 kcal/mol of atoms
# * electronic total energy: -3.753 eV/atom
# * energy above the most stable polymorph in this dataset: 91.0 meV per atom
# * SG: No. 123

---

(8)
# TeNF3, optimized geometry, DFT PBE
data_TeNF3
_chemical_formula_sum 'Te1 N1 F3'
_cell_length_a 4.025
_cell_length_b 4.025
_cell_length_c 4.025
_cell_angle_alpha 90.00
_cell_angle_beta 90.00
_cell_angle_gamma 90.00
_symmetry_space_group_name_H-M 'P 1'
_symmetry_Int_Tables_number 1
_symmetry_space_group_name_Hall 'P 1'
loop_
_atom_site_label
_atom_site_type_symbol
_atom_site_fract_x
_atom_site_fract_y
_atom_site_fract_z
Te1 Te 0.000 0.000 0.000
N1 N 0.500 0.500 0.500
F1 F 0.000 0.500 0.500
F2 F 0.500 0.000 0.500
F3 F 0.500 0.500 0.000
# * formation energy without anion corrections: 13.38 kcal/mol of atoms
# * electronic total energy: -2.836 eV/atom
# * energy above the most stable polymorph in this dataset: 848.3 meV per atom
# * SG: No. 221

---

(9)
# TeNF3, optimized geometry, DFT PBE
data_TeNF3
_chemical_formula_sum 'Te1 N1 F3'
_cell_length_a 4.462
_cell_length_b 4.462
_cell_length_c 4.462
_cell_angle_alpha 90.00
_cell_angle_beta 90.00
_cell_angle_gamma 90.00
_symmetry_space_group_name_H-M 'P 1'
_symmetry_Int_Tables_number 1
_symmetry_space_group_name_Hall 'P 1'
loop_
_atom_site_label
_atom_site_type_symbol
_atom_site_fract_x
_atom_site_fract_y
_atom_site_fract_z
Te1 Te 0.000 0.000 0.000
N1 N 0.500 0.500 0.500
F1 F 0.000 0.000 0.500
F2 F 0.000 0.500 0.000
F3 F 0.500 0.000 0.000
# * formation energy without anion corrections: -6.18 kcal/mol of atoms
# * electronic total energy: -3.684 eV/atom
# * energy above the most stable polymorph in this dataset: 0.0 meV per atom
# * SG: No. 221

---

(10)
# Te2NF, optimized geometry, DFT PBE
data_Te2NF
_chemical_formula_sum 'Te4 N2 F2'
_cell_length_a 7.952
_cell_length_b 7.952
_cell_length_c 7.952
_cell_angle_alpha 145.83
_cell_angle_beta 145.83
_cell_angle_gamma 49.09
_symmetry_space_group_name_H-M 'P 1'
_symmetry_Int_Tables_number 1
_symmetry_space_group_name_Hall 'P 1'
loop_
_atom_site_label
_atom_site_type_symbol
_atom_site_fract_x
_atom_site_fract_y
_atom_site_fract_z
Te1 Te 0.049 0.625 0.924
Te2 Te 0.375 0.299 0.424
Te3 Te 0.701 0.125 0.076
Te4 Te 0.875 0.951 0.576
N1 N 0.000 0.000 0.000
N2 N 0.750 0.250 0.500
F1 F 0.250 0.750 0.500
F2 F 0.500 0.500 0.000
# * formation energy without anion corrections: 2.02 kcal/mol of atoms
# * electronic total energy: -4.032 eV/atom
# * energy above the most stable polymorph in this dataset: 27.9 meV per atom
# * SG: No. 122

---

(11)
# Te2N2F, optimized geometry, DFT PBE
data_Te2N2F
_chemical_formula_sum 'Te2 N2 F1'
_cell_length_a 4.672
_cell_length_b 4.672
_cell_length_c 4.271
_cell_angle_alpha 90.00
_cell_angle_beta 90.00
_cell_angle_gamma 90.00
_symmetry_space_group_name_H-M 'P 1'
_symmetry_Int_Tables_number 1
_symmetry_space_group_name_Hall 'P 1'
loop_
_atom_site_label
_atom_site_type_symbol
_atom_site_fract_x
_atom_site_fract_y
_atom_site_fract_z
Te1 Te 0.000 0.000 0.000
Te2 Te 0.500 0.500 0.000
N1 N 0.000 0.500 0.500
N2 N 0.500 0.000 0.500
F1 F 0.000 0.000 0.500
# * formation energy without anion corrections: 40.92 kcal/mol of atoms
# * electronic total energy: -3.187 eV/atom
# * energy above the most stable polymorph in this dataset: 657.8 meV per atom
# * SG: No. 123

---

(12)
# TeN2F, optimized geometry, DFT PBE
data_TeN2F
_chemical_formula_sum 'Te1 N2 F1'
_cell_length_a 3.862
_cell_length_b 3.862
_cell_length_c 3.862
_cell_angle_alpha 60.00
_cell_angle_beta 60.00
_cell_angle_gamma 60.00
_symmetry_space_group_name_H-M 'P 1'
_symmetry_Int_Tables_number 1
_symmetry_space_group_name_Hall 'P 1'
loop_
_atom_site_label
_atom_site_type_symbol
_atom_site_fract_x
_atom_site_fract_y
_atom_site_fract_z
Te1 Te 0.000 0.000 0.000
N1 N 0.250 0.250 0.250
N2 N 0.750 0.750 0.750
F1 F 0.500 0.500 0.500
# * formation energy without anion corrections: 29.26 kcal/mol of atoms
# * electronic total energy: -4.147 eV/atom
# * energy above the most stable polymorph in this dataset: 344.8 meV per atom
# * SG: No. 225

---

electronic total energy of number 12 (TeN2F)?
-4.147 eV/atom

---

formation energy without anion corrections of number 8 (TeNF3)?
13.38 kcal/mol of atoms

---

What is the formation energy without anion corrections in the seventh record?
27.85 kcal/mol of atoms